(1)
An optimized crystal structure of Ba2TaCr. Source: Alexandria via LeMat-Bulk, functional GGA-PBE.

## Properties
DOS at the Fermi energy (states/eV/cell): 5.3
DFT formation energy (kJ/mol of formula units): 495
Crystal system: monoclinic
Final energy (eV per atom): -5.049
ρ (Mg/m³): 6.7
Relative energy among the computed polymorphs (meV/atom): 593

Cell lengths 5.045, 3.477, 7.990 Å; angles 64.47, 90.00, 90.00 degrees
Site moments in Bohr magnetons follow the coordinates.
Element x y z (fractional)
Ba (0.000, 0.004, 0.998)  -0.03
Ba (0.000, 0.496, 0.502)  -0.03
Cr (0.500, 0.250, 0.250)  3.95
Ta (0.500, 0.750, 0.750)  -0.92

***

(2)
An optimized crystal structure of BaTaCr2. Source: Alexandria via LeMat-Bulk, functional GGA-PBE.

## Properties
DOS at the Fermi energy (states/eV/cell): 4.7
DFT formation energy (kJ/mol of formula units): 275
Crystal system: orthorhombic
Final energy (eV per atom): -7.543
ρ (Mg/m³): 7.9
Relative energy among the computed polymorphs (meV/atom): 0

Cell lengths 3.478, 3.525, 7.264 Å; angles 90.00, 90.00, 90.00 degrees
Element x y z (fractional)
Ba (0.500, 0.500, 0.750)
Cr (0.000, 0.000, 0.110)
Cr (0.000, 0.000, 0.390)
Ta (0.500, 0.500, 0.250)

***

Look up the relative energy among the computed polymorphs of the first one.
593 meV/atom